VASP calculation (PBE) on crystalline Be3SiSn at its relaxed geometry.

The structure belongs to space group Pm-3m (No. 221); the cell edges are 4.3178, 4.3178 and 4.3178 Å and the angles 90.00°, 90.00° and 90.00°. The distinct sites, in fractional coordinates, are Be at (0.0000, 0.0000, 0.5000), Si at (0.0000, 0.0000, 0.0000) and Sn at (0.5000, 0.5000, 0.5000).

Its distance to the lowest polymorph of the same formula is 0 meV/atom. The final energy comes out at -16.66 eV per cell. As for the size of the total moment: 0.00 μB/atom.